Entry 1:
First-principles (PBE) data for a relaxed RbSr2HgRh crystal, as listed in Alexandria.

## Properties
calculated volume = 190 Å³ per cell
total magnetization = 0.00 μB per cell
calculated formation energy = -0.13 eV/atom

Lattice parameters (Å, degrees): 5.8037 5.8037 5.6283 90.00 90.00 90.00
Sites, in units of the cell vectors:
Rb1 0.0000 0.0000 0.0000
Sr1 0.0000 0.5000 0.5000
Sr2 0.5000 0.0000 0.5000
Hg1 0.5000 0.5000 0.0000
Rh1 0.5000 0.5000 0.5000

***

Entry 2:
First-principles (PBE) data for a relaxed RbHg2TeRh crystal, as listed in Alexandria.

## Properties
calculated volume = 154 Å³ per cell
total magnetization = 0.00 μB per cell
ΔE_f (raw) = -0.2786 eV/atom

Lattice parameters (Å, degrees): 5.3763 5.3763 5.3131 90.00 90.00 90.00
Sites, in units of the cell vectors:
Rb1 0.0000 0.0000 0.0000
Hg1 0.0000 0.5000 0.5000
Hg2 0.5000 0.0000 0.5000
Te1 0.5000 0.5000 0.0000
Rh1 0.5000 0.5000 0.5000

***

Entry 3:
First-principles (PBE) data for a relaxed Rb2Tl6HgRh crystal, as listed in Alexandria.

## Properties
calculated volume = 365 Å³ per cell
total magnetization = 0.00 μB per cell
calculated formation energy = 0.01 eV/atom

Lattice parameters (Å, degrees): 7.1044 7.3439 8.7910 67.95 69.22 61.46
Sites, in units of the cell vectors:
Rb1 0.1744 0.2405 0.3521
Rb2 0.8256 0.7595 0.6479
Tl1 0.2309 0.7656 0.2444
Tl2 0.3016 0.6404 0.8859
Tl3 0.3098 0.1676 0.8756
Tl4 0.6902 0.8324 0.1244
Tl5 0.6984 0.3596 0.1141
Tl6 0.7691 0.2344 0.7556
Hg1 0.5000 0.5000 0.5000
Rh1 0.0000 0.0000 0.0000

***

Entry 4:
First-principles (PBE) data for a relaxed RbTl2HgRh crystal, as listed in Alexandria.

## Properties
calculated volume = 180 Å³ per cell
total magnetization = 0.00 μB per cell
calculated formation energy = 0.05 eV/atom

Lattice parameters (Å, degrees): 5.3059 5.3059 6.3794 90.00 90.00 90.00
Sites, in units of the cell vectors:
Rb1 0.0000 0.0000 0.0000
Tl1 0.0000 0.5000 0.5000
Tl2 0.5000 0.0000 0.5000
Hg1 0.5000 0.5000 0.0000
Rh1 0.0000 0.0000 0.5000